Material: Pm2Si2Tc2B
Method: DFT, GGA-PBE
State: optimized geometry

Cell lengths 11.0784, 4.0940, 7.1414 Å; angles 90.00, 127.07, 90.00 degrees
Space group C2/m (No. 12)
Inequivalent atoms, fractional coordinates:
Pm1 0.0745 0.0000 0.3078 [4 per cell]
Si1 0.1426 0.5000 0.6911 [4 per cell]
Tc1 0.2124 0.5000 0.0910 [4 per cell]
B1 0.0000 0.5000 0.0000 [2 per cell]

Summary:
* total DFT energy (no corrections): -52.08 eV per formula unit
* size of the total moment: 0.00 μB/f.u.